No. 1
Density functional theory data (GGA-PBE) for a relaxed VCr2Co2 crystal.

Cell and atoms, written as POSCAR:
```
VCr2Co2
1.0
6.884 0.000 0.000
0.000 6.884 0.000
0.000 0.000 2.479
Cr Co V
4 4 2
direct
0.380 0.880 0.000 Cr
0.880 0.620 0.000 Cr
0.620 0.120 0.000 Cr
0.120 0.380 0.000 Cr
0.176 0.676 0.500 Co
0.324 0.176 0.500 Co
0.676 0.824 0.500 Co
0.824 0.324 0.500 Co
0.000 0.000 0.000 V
0.500 0.500 0.000 V
```

## Properties
Raw total energy, eV per atom: -8.359
Excess energy over the best structure of this formula in the dataset, meV per atom: 38
E_form, eV/atom: 0.1563
Total magnetization, μB per formula unit: 0.4


No. 2
Density functional theory data (GGA-PBE) for a relaxed Na2AlBiO4 crystal.

Cell and atoms, written as POSCAR:
```
Na2AlBiO4
1.0
5.787 -0.550 -0.842
-2.963 5.001 0.842
-2.963 -1.241 4.917
Na Bi O Al
2 1 4 1
direct
0.000 0.000 0.000 Na
0.500 0.750 0.250 Na
0.500 0.250 0.750 Bi
0.597 0.402 0.413 O
0.403 0.816 0.805 O
0.012 0.195 0.598 O
0.988 0.587 0.184 O
0.000 0.500 0.500 Al
```

## Properties
Raw total energy, eV per atom: -5.638
ΔE_f (raw), kJ/mol of formula units: -1448
Total magnetization, μB per formula unit: 0.0


No. 3
Density functional theory data (GGA-PBE) for a relaxed BeNb2WBr crystal.

Cell and atoms, written as POSCAR:
```
BeNb2WBr
1.0
-2.754 2.854 -2.945
-0.922 -3.509 -2.539
-3.970 -0.966 2.776
Nb W Br Be
2 1 1 1
direct
0.500 0.000 0.000 Nb
0.000 0.000 0.500 Nb
0.000 0.000 0.000 W
0.500 0.500 0.500 Br
0.000 0.500 0.000 Be
```

## Properties
Raw total energy, eV per atom: -6.367
ΔE_f (raw), kJ/mol of formula units: 642
Total magnetization, μB per formula unit: 0.0


No. 4
Density functional theory data (GGA-PBE) for a relaxed Cd2BSb crystal.

Cell and atoms, written as POSCAR:
```
Cd2BSb
1.0
8.303 0.000 0.000
0.000 8.303 0.000
4.151 4.151 2.482
B Sb Cd
2 2 4
direct
0.250 0.750 0.500 B
0.500 0.500 0.000 B
0.000 0.000 0.000 Sb
0.750 0.250 0.500 Sb
0.375 0.484 0.750 Cd
0.875 0.766 0.750 Cd
0.516 0.125 0.250 Cd
0.234 0.625 0.250 Cd
```

## Properties
Raw total energy, eV per atom: -2.447
Excess energy over the best structure of this formula in the dataset, meV per atom: 0
ΔE_f (raw), kJ/mol of formula units: 274
Total magnetization, μB per formula unit: 0.0


No. 5
Density functional theory data (GGA-PBE) for a relaxed Nb crystal.

Cell and atoms, written as POSCAR:
```
Nb
1.0
2.687 0.000 0.000
0.000 4.888 -0.001
0.000 -2.443 4.233
Nb
3
direct
0.500 0.333 0.667 Nb
0.000 0.000 0.000 Nb
0.500 0.667 0.333 Nb
```

## Properties
Raw total energy, eV per atom: -9.896
Excess energy over the best structure of this formula in the dataset, meV per atom: 174
E_form, eV/atom: 0.1741
Total magnetization, μB per formula unit: 0.0


No. 6
Density functional theory data (GGA-PBE) for a relaxed GdGaPt4 crystal.

Cell and atoms, written as POSCAR:
```
GdGaPt4
1.0
5.380 0.000 0.000
2.690 4.659 0.000
2.690 1.553 4.393
Pt Ga Gd
4 1 1
direct
0.626 0.123 0.626 Pt
0.626 0.626 0.123 Pt
0.123 0.626 0.626 Pt
0.626 0.626 0.626 Pt
0.000 0.000 0.000 Ga
0.250 0.250 0.250 Gd
```

## Properties
Raw total energy, eV per atom: -7.653
E_form, eV/atom: -0.7749
Total magnetization, μB per formula unit: 7.0


No. 7
Density functional theory data (GGA-PBE) for a relaxed Pm2ThNb crystal.

Cell and atoms, written as POSCAR:
```
Pm2ThNb
1.0
-2.701 1.964 -0.378
-2.823 -0.680 1.693
1.876 7.265 9.387
Pm Nb Th
2 1 1
direct
0.082 0.082 0.753 Pm
0.918 0.918 0.247 Pm
0.000 0.000 0.000 Nb
0.500 0.500 0.500 Th
```

## Properties
Raw total energy, eV per atom: -6.158
E_form, eV/atom: 0.5897
Total magnetization, μB per formula unit: 0.7


No. 8
Density functional theory data (GGA-PBE) for a relaxed GdHoAlNi crystal.

Cell and atoms, written as POSCAR:
```
GdHoAlNi
1.0
-2.099 -4.329 1.298
0.825 -4.086 -2.729
2.814 -3.686 1.822
Ho Al Gd Ni
1 1 1 1
direct
0.000 0.000 0.000 Ho
0.750 0.750 0.750 Al
0.500 0.500 0.500 Gd
0.250 0.250 0.250 Ni
```

## Properties
Raw total energy, eV per atom: -7.353
E_form, eV/atom: -0.3069
Total magnetization, μB per formula unit: 7.1


No. 9
Density functional theory data (GGA-PBE) for a relaxed Rb2ThRu3O12 crystal.

Cell and atoms, written as POSCAR:
```
Rb2ThRu3O12
1.0
7.600 0.192 0.136
3.920 6.514 0.136
3.920 2.282 6.103
O Rb Ru Th
12 2 3 1
direct
0.701 0.078 0.701 O
0.631 0.086 0.086 O
0.369 0.914 0.914 O
0.086 0.631 0.086 O
0.078 0.701 0.701 O
0.299 0.299 0.922 O
0.914 0.369 0.914 O
0.701 0.701 0.078 O
0.086 0.086 0.631 O
0.299 0.922 0.299 O
0.922 0.299 0.299 O
0.914 0.914 0.369 O
0.622 0.622 0.622 Rb
0.378 0.378 0.378 Rb
0.500 0.000 0.000 Ru
0.000 0.000 0.500 Ru
0.000 0.500 0.000 Ru
0.000 0.000 0.000 Th
```

## Properties
Raw total energy, eV per atom: -6.781
ΔE_f (raw), kJ/mol of formula units: -2449
Total magnetization, μB per formula unit: 0.6


No. 10
Density functional theory data (GGA-PBE) for a relaxed CdCuP2O6 crystal.

Cell and atoms, written as POSCAR:
```
CdCuP2O6
1.0
4.913 0.176 0.183
1.854 7.513 0.917
1.854 0.638 7.542
O P Cd Cu
12 4 2 2
direct
0.829 0.079 0.308 O
0.329 0.308 0.079 O
0.382 0.816 0.382 O
0.978 0.336 0.391 O
0.022 0.664 0.609 O
0.522 0.609 0.664 O
0.171 0.921 0.692 O
0.618 0.184 0.618 O
0.478 0.391 0.336 O
0.671 0.692 0.921 O
0.882 0.382 0.816 O
0.118 0.618 0.184 O
0.729 0.229 0.414 P
0.229 0.414 0.229 P
0.771 0.586 0.771 P
0.271 0.771 0.586 P
0.750 0.081 0.919 Cd
0.250 0.919 0.081 Cd
0.250 0.211 0.789 Cu
0.750 0.789 0.211 Cu
```

## Properties
Raw total energy, eV per atom: -6.155
ΔE_f (raw), kJ/mol of formula units: -1541
Total magnetization, μB per formula unit: 0.0


No. 11
Density functional theory data (GGA-PBE) for a relaxed NaLi5Mg3 crystal.

Cell and atoms, written as POSCAR:
```
NaLi5Mg3
1.0
5.899 0.000 0.000
0.000 8.781 0.000
0.000 -4.391 7.605
Mg Li Na
6 10 2
direct
0.750 0.368 0.000 Mg
0.250 0.632 0.000 Mg
0.250 0.368 0.368 Mg
0.750 0.000 0.368 Mg
0.250 0.000 0.632 Mg
0.750 0.632 0.632 Mg
0.750 0.689 0.000 Li
0.250 0.689 0.689 Li
0.500 0.333 0.667 Li
0.250 0.000 0.311 Li
0.250 0.311 0.000 Li
0.000 0.667 0.333 Li
0.000 0.333 0.667 Li
0.750 0.000 0.689 Li
0.750 0.311 0.311 Li
0.500 0.667 0.333 Li
0.000 0.000 0.000 Na
0.500 0.000 0.000 Na
```

## Properties
Raw total energy, eV per atom: -1.714
E_form, eV/atom: 0.0276
Total magnetization, μB per formula unit: 0.0


No. 12
Density functional theory data (GGA-PBE) for a relaxed Li2HgBi2 crystal.

Cell and atoms, written as POSCAR:
```
Li2HgBi2
1.0
6.010 0.000 0.000
0.000 7.119 0.000
-3.005 -3.560 5.680
Bi Li Hg
4 4 2
direct
0.689 0.992 0.379 Bi
0.311 0.008 0.621 Bi
0.189 0.387 0.379 Bi
0.811 0.613 0.621 Bi
0.929 0.102 0.858 Li
0.571 0.244 0.142 Li
0.071 0.898 0.142 Li
0.429 0.756 0.858 Li
0.250 0.500 0.000 Hg
0.750 0.500 0.000 Hg
```

## Properties
Raw total energy, eV per atom: -2.586
Excess energy over the best structure of this formula in the dataset, meV per atom: 60
E_form, eV/atom: -0.2077
Total magnetization, μB per formula unit: 0.0


No. 13
Density functional theory data (GGA-PBE) for a relaxed Ac2NpTe2N2 crystal.

Cell and atoms, written as POSCAR:
```
Ac2NpTe2N2
1.0
4.262 0.000 0.000
2.131 6.328 -0.144
2.131 2.244 6.798
Te Ac N Np
2 2 2 1
direct
0.436 0.796 0.332 Te
0.564 0.204 0.668 Te
0.195 0.368 0.243 Ac
0.805 0.632 0.757 Ac
0.180 0.708 0.933 N
0.820 0.292 0.067 N
0.000 0.000 0.000 Np
```

## Properties
Raw total energy, eV per atom: -7.750
ΔE_f (raw), kJ/mol of formula units: -980
Total magnetization, μB per formula unit: 3.0


No. 14
Density functional theory data (GGA-PBE) for a relaxed Ba3BIr crystal.

Cell and atoms, written as POSCAR:
```
Ba3BIr
1.0
-3.127 4.771 1.801
-1.808 0.938 -5.625
-4.769 -3.485 0.952
Ba Ir B
3 1 1
direct
0.000 0.500 0.000 Ba
0.000 0.000 0.500 Ba
0.500 0.000 0.000 Ba
0.000 0.000 0.000 Ir
0.500 0.500 0.500 B
```

## Properties
Raw total energy, eV per atom: -3.523
Excess energy over the best structure of this formula in the dataset, meV per atom: 0
E_form, eV/atom: 0.7387
Total magnetization, μB per formula unit: 1.8


No. 15
Density functional theory data (GGA-PBE) for a relaxed Nd2CuPd crystal.

Cell and atoms, written as POSCAR:
```
Nd2CuPd
1.0
3.612 0.000 0.000
0.000 3.612 0.000
0.000 0.000 7.210
Nd Cu Pd
2 1 1
direct
0.000 0.000 0.248 Nd
0.000 0.000 0.752 Nd
0.500 0.500 0.000 Cu
0.500 0.500 0.500 Pd
```

## Properties
Raw total energy, eV per atom: -5.144
E_form, eV/atom: -0.4379
Total magnetization, μB per formula unit: 0.0


No. 16
Density functional theory data (GGA-PBE) for a relaxed PaTiP2N6 crystal.

Cell and atoms, written as POSCAR:
```
PaTiP2N6
1.0
5.548 0.082 0.085
1.873 6.734 0.313
1.873 0.063 6.741
N Pa Ti P
12 2 2 4
direct
0.653 0.699 0.615 N
0.359 0.836 0.395 N
0.859 0.395 0.836 N
0.141 0.605 0.164 N
0.687 0.779 0.973 N
0.313 0.221 0.027 N
0.153 0.615 0.699 N
0.347 0.301 0.385 N
0.847 0.385 0.301 N
0.641 0.164 0.605 N
0.813 0.027 0.221 N
0.187 0.973 0.779 N
0.750 0.119 0.881 Pa
0.250 0.881 0.119 Pa
0.250 0.296 0.704 Ti
0.750 0.704 0.296 Ti
0.669 0.216 0.368 P
0.169 0.368 0.216 P
0.331 0.784 0.632 P
0.831 0.632 0.784 P
```

## Properties
Raw total energy, eV per atom: -8.667
ΔE_f (raw), kJ/mol of formula units: -821
Total magnetization, μB per formula unit: 1.1


No. 17
Density functional theory data (GGA-PBE) for a relaxed NdTmSc2Se4 crystal.

Cell and atoms, written as POSCAR:
```
NdTmSc2Se4
1.0
3.954 0.000 0.000
0.000 6.971 -0.178
0.000 2.415 6.522
Sc Tm Se Nd
2 1 4 1
direct
0.500 0.000 0.500 Sc
0.000 0.000 0.000 Sc
0.000 0.500 0.500 Tm
0.500 0.234 0.746 Se
0.000 0.228 0.267 Se
0.000 0.772 0.733 Se
0.500 0.766 0.254 Se
0.500 0.500 0.000 Nd
```

## Properties
Raw total energy, eV per atom: -6.135
ΔE_f (raw), kJ/mol of formula units: -1277
Total magnetization, μB per formula unit: 0.0